[1]
# SrMoIrO6

A relaxed SrMoIrO6 crystal (PBE with a Hubbard U, the Alexandria database).

a = 5.3509 Å, b = 5.3508 Å, c = 5.2971 Å
α = 90.00°, β = 89.99°, γ = 59.99°
Closest atoms and distances in Å follow each position.
Element x y z (fractional)
Mo: 0.6666 0.6666 0.5000  6 O 1.96
O: 0.6255 0.9929 0.2984  1 Mo 1.96, 1 Ir 2.01
Ir: 0.3333 0.3334 0.5000  6 O 2.01
O: 0.9928 0.6255 0.7016  1 Mo 1.96, 1 Ir 2.01
O: 0.9929 0.3816 0.2984  1 Mo 1.96, 1 Ir 2.01
Sr: 0.0000 0.0000 0.0000  6 O 2.57
O: 0.3816 0.9929 0.7016  1 Mo 1.96, 1 Ir 2.01
O: 0.6253 0.3819 0.7018  1 Mo 1.96, 1 Ir 2.01
O: 0.3818 0.6253 0.2982  1 Mo 1.96, 1 Ir 2.01

Its uncorrected energy is -6.879 eV per atom. The value obtained for the density of states at the Fermi level is 0.567 states/eV/atom.

[2]
# TaMoIr2O

A relaxed TaMoIr2O crystal (PBE with a Hubbard U, the Alexandria database).

a = 4.6801 Å, b = 4.9218 Å, c = 4.6801 Å
α = 90.00°, β = 90.00°, γ = 90.00°
Closest atoms and distances in Å follow each position.
Element x y z (fractional)
Ir: 0.0000 0.0000 0.5000  2 Mo 2.34
Ta: 0.0000 0.5000 0.0000  2 Mo 2.46
Ir: 0.5000 0.0000 0.0000  2 Mo 2.34
O: 0.5000 0.5000 0.5000  4 Ta 3.31, 8 Ir 3.40
Mo: 0.0000 0.0000 0.0000  4 Ir 2.34, 2 Ta 2.46

Its uncorrected energy is -5.977 eV per atom. The value obtained for the density of states at the Fermi level is 1.071 states/eV/atom.

[3]
# TaMo2IrO

A relaxed TaMo2IrO crystal (PBE with a Hubbard U, the Alexandria database).

a = 5.1153 Å, b = 4.7894 Å, c = 5.1153 Å
α = 90.00°, β = 90.00°, γ = 90.00°
Closest atoms and distances in Å follow each position.
Element x y z (fractional)
Ta: 0.0000 0.5000 0.0000  2 Ir 2.39
O: 0.5000 0.5000 0.5000  8 Mo 3.50, 4 Ta 3.62
Mo: 0.0000 0.0000 0.5000  2 Ir 2.56
Ir: 0.0000 0.0000 0.0000  2 Ta 2.39, 4 Mo 2.56
Mo: 0.5000 0.0000 0.0000  2 Ir 2.56

Its uncorrected energy is -6.148 eV per atom. The value obtained for the density of states at the Fermi level is 0.881 states/eV/atom.